DFT (PBE) results for a relaxed Rb2PuBr4F2 crystal.

Unit cell a=6.0508 b=7.3306 c=7.3306 alpha=66.61 beta=79.96 gamma=79.96
With the nearest neighbours (Å) after each atom.
Fractional coordinates of all 9 atoms:
Rb1 0.1746 0.6725 0.6725  1 F 3.00
Rb2 0.8254 0.3275 0.3275  1 F 3.00
Pu1 0.5000 0.0000 0.0000  2 F 2.09
Br1 0.2979 0.6440 0.1524  1 Pu 2.81
Br2 0.7021 0.8476 0.3560  1 Pu 2.81
Br3 0.7021 0.3560 0.8476  1 Pu 2.81
Br4 0.2979 0.1524 0.6440  1 Pu 2.81
F1 0.2283 0.1368 0.1368  1 Pu 2.09
F2 0.7717 0.8632 0.8632  1 Pu 2.09

Its density of states at the Fermi level is 0.59 states/eV/atom. The total moment comes out at 4.00 μB per formula unit. Its calculated total energy is -45.73 eV/cell. As for the raw formation energy: -2.114 eV/atom.

DFT (PBE) results for a relaxed Zr2GaIr crystal.

Unit cell a=3.7046 b=4.4657 c=4.4657 alpha=90.00 beta=90.00 gamma=90.00
With the nearest neighbours (Å) after each atom.
Fractional coordinates of all 4 atoms:
Ir1 0.5000 0.0000 0.0000  8 Zr 2.90, 4 Ga 3.16
Ga1 0.5000 0.5000 0.5000  8 Zr 2.90, 4 Ir 3.16
Zr1 0.0000 0.0000 0.5000  4 Ir 2.90, 4 Ga 2.90, 4 Zr 3.16
Zr2 0.0000 0.5000 0.0000  4 Ir 2.90, 4 Ga 2.90, 4 Zr 3.16

The value obtained for the calculated formation energy is -0.61 eV per atom. Its density of states at the Fermi level is 1.13 states/eV/atom. The total moment comes out at 0.00 μB per formula unit. Its calculated total energy is -31.44 eV/cell.

DFT (PBE) results for a relaxed Tm5InOs crystal.

Unit cell a=5.8539 b=5.8539 c=11.6340 alpha=77.90 beta=77.90 gamma=78.88
With the nearest neighbours (Å) after each atom.
Fractional coordinates of all 14 atoms:
Tm1 0.9187 0.5804 0.1245  1 Os 2.65
Tm2 0.2071 0.5437 0.5639  1 Os 2.73
Tm3 0.5804 0.9187 0.6245  1 Os 2.65
Tm4 0.9923 0.0077 0.2500  2 Os 2.91, 1 In 3.04
Tm5 0.4563 0.7929 0.9361  1 Os 2.73
Tm6 0.5437 0.2071 0.0639  1 Os 2.73
Tm7 0.0077 0.9923 0.7500  2 Os 2.91, 1 In 3.04
Tm8 0.4196 0.0813 0.3755  1 Os 2.65
Tm9 0.7929 0.4563 0.4361  1 Os 2.73
Tm10 0.0813 0.4196 0.8755  1 Os 2.65
In1 0.4005 0.5995 0.2500  5 Tm 3.04-3.35
In2 0.5995 0.4005 0.7500  5 Tm 3.04-3.35
Os1 0.0000 0.0000 0.0000  6 Tm 2.65-2.91
Os2 0.0000 0.0000 0.5000  6 Tm 2.65-2.91

The value obtained for the calculated formation energy is -0.12 eV per atom. Its density of states at the Fermi level is 0.95 states/eV/atom. The total moment comes out at 0.00 μB per formula unit. Its calculated total energy is -74.35 eV/cell.

DFT (PBE) results for a relaxed AcCdSn2Pd4 crystal.

Unit cell a=4.6060 b=4.6060 c=9.5779 alpha=76.09 beta=76.09 gamma=60.00
With the nearest neighbours (Å) after each atom.
Fractional coordinates of all 8 atoms:
Ac1 0.0000 0.0000 0.0000  6 Pd 3.25
Cd1 0.5000 0.5000 0.5000  8 Pd 2.74-2.82
Sn1 0.7602 0.7602 0.7194  7 Pd 2.75-2.96
Sn2 0.2398 0.2398 0.2806  7 Pd 2.75-2.96
Pd1 0.4008 0.4008 0.7976  1 Cd 2.74, 3 Sn 2.75
Pd2 0.8675 0.8675 0.3976  3 Cd 2.82, 4 Sn 2.87-2.96
Pd3 0.1325 0.1325 0.6024  3 Cd 2.82, 4 Sn 2.87-2.96
Pd4 0.5992 0.5992 0.2024  1 Cd 2.74, 3 Sn 2.75

The value obtained for the calculated formation energy is -0.61 eV per atom. Its density of states at the Fermi level is 0.52 states/eV/atom. The total moment comes out at 0.00 μB per formula unit. Its calculated total energy is -38.66 eV/cell.